# GGA-PBE SrScCl2, relaxed
data_SrScCl2
_chemical_formula_sum 'Sr2 Sc2 Cl4'
_cell_length_a 3.5517
_cell_length_b 3.5733
_cell_length_c 19.4847
_cell_angle_alpha 90.00
_cell_angle_beta 90.00
_cell_angle_gamma 90.00
_symmetry_space_group_name_H-M 'I m m 2'
_symmetry_Int_Tables_number 44
loop_
_symmetry_equiv_pos_as_xyz
'x,y,z'
'-x,-y,z'
'-x,y,z'
'x,-y,z'
'x+1/2,y+1/2,z+1/2'
'-x+1/2,-y+1/2,z+1/2'
'-x+1/2,y+1/2,z+1/2'
'x+1/2,-y+1/2,z+1/2'
loop_
_atom_site_label
_atom_site_type_symbol
_atom_site_fract_x
_atom_site_fract_y
_atom_site_fract_z
_atom_site_occupancy
Sr1 Sr 0.0000 0.0000 0.0000 1
Sc1 Sc 0.0000 0.5000 0.1644 1
Cl1 Cl 0.0000 0.0000 0.4216 1
Cl2 Cl 0.0000 0.5000 0.7234 1
# - Formation energy from raw total energies: -1.297 eV per atom
# - Offset from the most stable computed form: 78 meV per atom

=====

# GGA-PBE Sc3Ga4, relaxed
data_Sc3Ga4
_chemical_formula_sum 'Sc12 Ga16'
_cell_length_a 10.2193
_cell_length_b 3.9655
_cell_length_c 13.3437
_cell_angle_alpha 90.00
_cell_angle_beta 90.01
_cell_angle_gamma 90.00
_symmetry_space_group_name_H-M 'C 1 m 1'
_symmetry_Int_Tables_number 8
loop_
_symmetry_equiv_pos_as_xyz
'x,y,z'
'x,-y,z'
'x+1/2,y+1/2,z'
'x+1/2,-y+1/2,z'
loop_
_atom_site_label
_atom_site_type_symbol
_atom_site_fract_x
_atom_site_fract_y
_atom_site_fract_z
_atom_site_occupancy
Sc1 Sc 0.0000 0.0000 0.0000 1
Sc2 Sc 0.0003 0.0000 0.2988 1
Sc3 Sc 0.1878 0.5000 0.6496 1
Sc4 Sc 0.2109 0.5000 0.1491 1
Sc5 Sc 0.3978 0.0000 0.7984 1
Sc6 Sc 0.3995 0.0000 0.4996 1
Ga1 Ga 0.1096 0.0000 0.7969 1
Ga2 Ga 0.1115 0.0000 0.5019 1
Ga3 Ga 0.1987 0.5000 0.8991 1
Ga4 Ga 0.1998 0.5000 0.3993 1
Ga5 Ga 0.2880 0.0000 0.0016 1
Ga6 Ga 0.2882 0.0000 0.2966 1
Ga7 Ga 0.4410 0.0000 0.1493 1
Ga8 Ga 0.4575 0.5000 0.6490 1
# - ΔH_f (0 K): -0.561 eV/atom

=====

# GGA-PBE BeTe2, relaxed
data_BeTe2
_chemical_formula_sum 'Be4 Te8'
_cell_length_a 11.9411
_cell_length_b 7.3939
_cell_length_c 3.7389
_cell_angle_alpha 90.00
_cell_angle_beta 90.00
_cell_angle_gamma 90.00
_symmetry_space_group_name_H-M 'C m c m'
_symmetry_Int_Tables_number 63
_symmetry_space_group_name_Hall '-C 2c 2'
loop_
_atom_site_label
_atom_site_type_symbol
_atom_site_fract_x
_atom_site_fract_y
_atom_site_fract_z
_atom_site_occupancy
Be1 Be 0.0000 0.2360 0.2500 1
Te1 Te 0.1329 0.2532 0.7500 1
# - Formation energy from raw total energies: 0.223 eV per atom
# - Offset from the most stable computed form: 368 meV per atom

=====

# GGA-PBE PrPa2Re, relaxed
data_PrPa2Re
_chemical_formula_sum 'Pr3 Pa6 Re3'
_cell_length_a 3.7444
_cell_length_b 3.7444
_cell_length_c 29.5853
_cell_angle_alpha 90.00
_cell_angle_beta 90.00
_cell_angle_gamma 120.00
_symmetry_space_group_name_H-M 'R -3 m'
_symmetry_Int_Tables_number 166
_symmetry_space_group_name_Hall '-R 3 2"'
loop_
_atom_site_label
_atom_site_type_symbol
_atom_site_fract_x
_atom_site_fract_y
_atom_site_fract_z
_atom_site_occupancy
Pr1 Pr 0.0000 0.0000 0.0000 1
Pa1 Pa 0.0000 0.0000 0.1100 1
Re1 Re 0.0000 0.0000 0.5000 1
# - ΔH_f (0 K): 0.503 eV/atom
# - Offset from the most stable computed form: 351 meV per atom

=====

# GGA-PBE SrMnTc2, relaxed
data_SrMnTc2
_chemical_formula_sum 'Sr4 Mn4 Tc8'
_cell_length_a 6.3926
_cell_length_b 6.3926
_cell_length_c 6.3926
_cell_angle_alpha 90.00
_cell_angle_beta 90.00
_cell_angle_gamma 90.00
_symmetry_space_group_name_H-M 'F m -3 m'
_symmetry_Int_Tables_number 225
_symmetry_space_group_name_Hall '-F 4 2 3'
loop_
_atom_site_label
_atom_site_type_symbol
_atom_site_fract_x
_atom_site_fract_y
_atom_site_fract_z
_atom_site_occupancy
Sr1 Sr 0.0000 0.0000 0.0000 1
Mn1 Mn 0.0000 0.0000 0.5000 1
Tc1 Tc 0.2500 0.2500 0.2500 1
# - ΔH_f (0 K): 1.088 eV/atom
# - Offset from the most stable computed form: 663 meV per atom

=====

# GGA-PBE TbSm4Se5, relaxed
data_TbSm4Se5
_chemical_formula_sum 'Tb2 Sm8 Se10'
_cell_length_a 9.2872
_cell_length_b 9.2872
_cell_length_c 5.8919
_cell_angle_alpha 90.00
_cell_angle_beta 90.00
_cell_angle_gamma 90.00
_symmetry_space_group_name_H-M 'I 4/m'
_symmetry_Int_Tables_number 87
_symmetry_space_group_name_Hall '-I 4'
loop_
_atom_site_label
_atom_site_type_symbol
_atom_site_fract_x
_atom_site_fract_y
_atom_site_fract_z
_atom_site_occupancy
Tb1 Tb 0.0000 0.0000 0.0000 1
Sm1 Sm 0.0972 0.3030 0.5000 1
Se1 Se 0.0000 0.0000 0.5000 1
Se2 Se 0.1006 0.2946 0.0000 1
# - Formation energy from raw total energies: -1.808 eV per atom